1.
Compound: Fe3Co2H2
Source: Alexandria
Functional: GGA-PBE
Structure: relaxed

Output
Space-group type: Immm
Final energy (eV per cell): -89.0
Calculated density (g/cm³): 7.23

a = 2.5897 Å, b = 3.8756 Å, c = 13.1577 Å
α = 90.00°, β = 90.00°, γ = 90.00°
Fractional positions:
Fe: 0.0000 0.0000 0.0000
Fe: 0.0000 0.5000 0.3098
Fe: 0.0000 0.5000 0.6902
Fe: 0.5000 0.0000 0.1902
Fe: 0.5000 0.0000 0.8098
Fe: 0.5000 0.5000 0.5000
Co: 0.0000 0.5000 0.1305
Co: 0.0000 0.5000 0.8695
Co: 0.5000 0.0000 0.3695
Co: 0.5000 0.0000 0.6305
H: 0.0000 0.0000 0.4401
H: 0.0000 0.0000 0.5599
H: 0.5000 0.5000 0.0599
H: 0.5000 0.5000 0.9401



2.
Compound: Ca2Th4Sb3N2
Source: Alexandria
Functional: GGA-PBE
Structure: relaxed

Output
Formation energy from raw total energies (eV/atom): -1.05
Space-group type: I4/mmm
Final energy (eV per cell): -74.3
Calculated density (g/cm³): 7.73

a = 13.3213 Å, b = 13.3213 Å, c = 13.3213 Å
α = 159.08°, β = 159.08°, γ = 29.75°
Fractional positions:
Ca: 0.1969 0.1969 0.0000
Ca: 0.8031 0.8031 0.0000
Th: 0.0842 0.5842 0.5000
Th: 0.4158 0.9158 0.5000
Th: 0.5842 0.0842 0.5000
Th: 0.9158 0.4158 0.5000
Sb: 0.3226 0.3226 0.0000
Sb: 0.5000 0.5000 0.0000
Sb: 0.6774 0.6774 0.0000
N: 0.1033 0.1033 0.0000
N: 0.8967 0.8967 0.0000



3.
Compound: HfH3Pt
Source: Alexandria
Functional: GGA-PBE
Structure: relaxed

Output
Space-group type: Pm-3m
Final energy (eV per cell): -25.5
Calculated density (g/cm³): 12.64

a = 3.6707 Å, b = 3.6707 Å, c = 3.6707 Å
α = 90.00°, β = 90.00°, γ = 90.00°
Fractional positions:
Hf: 0.0000 0.0000 0.0000
H: 0.0000 0.0000 0.5000
H: 0.0000 0.5000 0.0000
H: 0.5000 0.0000 0.0000
Pt: 0.5000 0.5000 0.5000



4.
Compound: RbTlAs2Br
Source: Alexandria
Functional: GGA-PBE
Structure: relaxed

Output
Formation energy from raw total energies (eV/atom): 0.07
Space-group type: P4/mmm
Offset from the most stable computed form (meV/atom): 0.0
Final energy (eV per cell): -14.0
Calculated density (g/cm³): 4.54

a = 5.3853 Å, b = 5.3853 Å, c = 6.5510 Å
α = 90.00°, β = 90.00°, γ = 90.00°
Fractional positions:
Rb: 0.0000 0.0000 0.0000
Tl: 0.5000 0.5000 0.5000
As: 0.0000 0.5000 0.5000
As: 0.5000 0.0000 0.5000
Br: 0.5000 0.5000 0.0000



5.
Compound: Ba2TaZn
Source: Alexandria
Functional: GGA-PBE
Structure: relaxed

Output
Space-group type: P4/mmm
Final energy (eV per cell): -13.8
Calculated formation energy (meV/atom): 800
Calculated density (g/cm³): 6.90

a = 5.9862 Å, b = 5.9862 Å, c = 3.4985 Å
α = 90.00°, β = 90.00°, γ = 90.00°
Fractional positions:
Ba: 0.0000 0.5000 0.0000
Ba: 0.5000 0.0000 0.0000
Ta: 0.0000 0.0000 0.5000
Zn: 0.5000 0.5000 0.5000



6.
Compound: Li2MgAg8
Source: Alexandria
Functional: GGA-PBE
Structure: relaxed

Output
Space-group type: C2/m
Offset from the most stable computed form (meV/atom): 0.0
Final energy (eV per cell): -29.7
Calculated formation energy (meV/atom): -136
Calculated density (g/cm³): 7.82

a = 7.6806 Å, b = 7.6806 Å, c = 6.5631 Å
α = 105.26°, β = 105.26°, γ = 30.90°
Fractional positions:
Li: 0.2242 0.2242 0.1449
Li: 0.7758 0.7758 0.8551
Mg: 0.5000 0.5000 0.5000
Ag: 0.0455 0.0455 0.2276
Ag: 0.1405 0.1405 0.6909
Ag: 0.3177 0.3177 0.5890
Ag: 0.4044 0.4044 0.0427
Ag: 0.5956 0.5956 0.9573
Ag: 0.6823 0.6823 0.4110
Ag: 0.8595 0.8595 0.3091
Ag: 0.9545 0.9545 0.7724



7.
Compound: CsPdRh2
Source: Alexandria
Functional: GGA-PBE
Structure: relaxed

Output
Space-group type: Fm-3m
Final energy (eV per cell): -65.8
Calculated formation energy (meV/atom): 1075
Calculated density (g/cm³): 9.51

a = 6.7739 Å, b = 6.7739 Å, c = 6.7739 Å
α = 90.00°, β = 90.00°, γ = 90.00°
Fractional positions:
Cs: 0.0000 0.0000 0.0000
Cs: 0.0000 0.5000 0.5000
Cs: 0.5000 0.0000 0.5000
Cs: 0.5000 0.5000 0.0000
Pd: 0.0000 0.0000 0.5000
Pd: 0.0000 0.5000 0.0000
Pd: 0.5000 0.0000 0.0000
Pd: 0.5000 0.5000 0.5000
Rh: 0.2500 0.2500 0.2500
Rh: 0.2500 0.2500 0.7500
Rh: 0.2500 0.7500 0.2500
Rh: 0.2500 0.7500 0.7500
Rh: 0.7500 0.2500 0.2500
Rh: 0.7500 0.2500 0.7500
Rh: 0.7500 0.7500 0.2500
Rh: 0.7500 0.7500 0.7500



8.
Compound: UFeN2
Source: Alexandria
Functional: GGA-PBE
Structure: relaxed

Output
Formation energy from raw total energies (eV/atom): -0.75
Space-group type: R-3m
Final energy (eV per cell): -118.2
Calculated density (g/cm³): 8.77

a = 3.5818 Å, b = 3.5818 Å, c = 16.4592 Å
α = 90.00°, β = 90.00°, γ = 120.00°
Fractional positions:
U: 0.0000 0.0000 0.0000
U: 0.3333 0.6667 0.6667
U: 0.6667 0.3333 0.3333
Fe: 0.0000 0.0000 0.5000
Fe: 0.3333 0.6667 0.1667
Fe: 0.6667 0.3333 0.8333
N: 0.0000 0.0000 0.3881
N: 0.0000 0.0000 0.6119
N: 0.3333 0.6667 0.0547
N: 0.3333 0.6667 0.2786
N: 0.6667 0.3333 0.7214
N: 0.6667 0.3333 0.9453